# In2FeSbCl, optimized geometry, DFT PBE-GGA
# D(E_F) = 0.61 states/eV/cell
# Uncorrected formation energy = -0.23 eV per atom
# VASP energy = -4.214 eV/atom
# Space group = P4/mmm (123)
data_In2FeSbCl
_space_group_name_H-M_alt 'P 1'
_space_group_IT_number 1
_cell_length_a 5.1063
_cell_length_b 5.1063
_cell_length_c 4.6833
_cell_angle_alpha 90.00
_cell_angle_beta 90.00
_cell_angle_gamma 90.00
loop_
_space_group_symop_operation_xyz
'x,y,z'
loop_
_atom_site_label
_atom_site_fract_x
_atom_site_fract_y
_atom_site_fract_z
Sb1 0.0000 0.0000 0.5000
Cl1 0.5000 0.5000 0.5000
Fe1 0.0000 0.0000 0.0000
In1 0.0000 0.5000 0.0000
In2 0.5000 0.0000 0.0000

***

# Li3Zn2Pd3, optimized geometry, DFT PBE-GGA
# D(E_F) = 2.66 states/eV/cell
# Excess energy over the best structure of this formula in the dataset = 0.027 eV/atom
# VASP energy = -3.434 eV/atom
# Energy of formation = -0.4508 eV/atom
# Space group = C2/m (12)
data_Li3Zn2Pd3
_space_group_name_H-M_alt 'P 1'
_space_group_IT_number 1
_cell_length_a 4.2865
_cell_length_b 4.4913
_cell_length_c 6.7184
_cell_angle_alpha 109.43
_cell_angle_beta 108.60
_cell_angle_gamma 90.00
loop_
_space_group_symop_operation_xyz
'x,y,z'
loop_
_atom_site_label
_atom_site_fract_x
_atom_site_fract_y
_atom_site_fract_z
Li1 0.6263 0.1272 0.2525
Li2 0.5000 0.5000 0.0000
Li3 0.3737 0.8728 0.7475
Zn1 0.2426 0.2418 0.4851
Zn2 0.7574 0.7582 0.5149
Pd1 0.1319 0.6318 0.2638
Pd2 0.8681 0.3682 0.7362
Pd3 0.0000 0.0000 0.0000

***

# PaMn2Ir, optimized geometry, DFT PBE-GGA
# D(E_F) = 4.82 states/eV/cell
# VASP energy = -9.387 eV/atom
# Energy of formation = -0.2129 eV/atom
# Space group = P4/mmm (123)
data_PaMn2Ir
_space_group_name_H-M_alt 'P 1'
_space_group_IT_number 1
_cell_length_a 4.2237
_cell_length_b 3.9753
_cell_length_c 3.9753
_cell_angle_alpha 90.00
_cell_angle_beta 90.00
_cell_angle_gamma 90.00
loop_
_space_group_symop_operation_xyz
'x,y,z'
loop_
_atom_site_label
_atom_site_fract_x
_atom_site_fract_y
_atom_site_fract_z
Pa1 0.5000 0.0000 0.0000
Mn1 0.0000 0.0000 0.5000
Mn2 0.0000 0.5000 0.0000
Ir1 0.5000 0.5000 0.5000

***

# Sr2YGaO, optimized geometry, DFT PBE-GGA
# D(E_F) = 3.40 states/eV/cell
# Uncorrected formation energy = -1.22 eV per atom
# VASP energy = -4.786 eV/atom
# Space group = P4/mmm (123)
data_Sr2YGaO
_space_group_name_H-M_alt 'P 1'
_space_group_IT_number 1
_cell_length_a 5.0996
_cell_length_b 5.0996
_cell_length_c 4.8100
_cell_angle_alpha 90.00
_cell_angle_beta 90.00
_cell_angle_gamma 90.00
loop_
_space_group_symop_operation_xyz
'x,y,z'
loop_
_atom_site_label
_atom_site_fract_x
_atom_site_fract_y
_atom_site_fract_z
Y1 0.0000 0.0000 0.5000
Sr1 0.0000 0.5000 0.0000
Sr2 0.5000 0.0000 0.0000
O1 0.0000 0.0000 0.0000
Ga1 0.5000 0.5000 0.5000

***

# SrSb3, optimized geometry, DFT PBE-GGA
# D(E_F) = 2.16 states/eV/cell
# Uncorrected formation energy = -0.25 eV per atom
# VASP energy = -3.762 eV/atom
# Space group = P-6m2 (187)
data_SrSb3
_space_group_name_H-M_alt 'P 1'
_space_group_IT_number 1
_cell_length_a 4.8782
_cell_length_b 4.8782
_cell_length_c 6.8793
_cell_angle_alpha 90.00
_cell_angle_beta 90.00
_cell_angle_gamma 120.00
loop_
_space_group_symop_operation_xyz
'x,y,z'
loop_
_atom_site_label
_atom_site_fract_x
_atom_site_fract_y
_atom_site_fract_z
Sb1 0.0000 0.0000 0.0208
Sb2 0.0000 0.0000 0.4792
Sb3 0.6667 0.3333 0.2500
Sr1 0.6667 0.3333 0.7500

***

# NaZrNpS4, optimized geometry, DFT PBE-GGA
# D(E_F) = 18.58 states/eV/cell
# Uncorrected formation energy = -1.42 eV per atom
# VASP energy = -7.040 eV/atom
# Space group = Imma (74)
data_NaZrNpS4
_space_group_name_H-M_alt 'P 1'
_space_group_IT_number 1
_cell_length_a 7.6756
_cell_length_b 7.9476
_cell_length_c 8.2753
_cell_angle_alpha 121.37
_cell_angle_beta 90.00
_cell_angle_gamma 118.87
loop_
_space_group_symop_operation_xyz
'x,y,z'
loop_
_atom_site_label
_atom_site_fract_x
_atom_site_fract_y
_atom_site_fract_z
Na1 0.8640 0.7279 0.1140
Na2 0.1360 0.2721 0.8860
Zr1 0.5000 0.5000 0.5000
Zr2 0.0000 0.5000 0.5000
Np1 0.5000 0.0000 0.5000
Np2 0.5000 0.0000 0.0000
S1 0.7446 0.4893 0.7089
S2 0.2868 0.0372 0.2686
S3 0.7504 0.0372 0.2686
S4 0.7446 0.4893 0.2804
S5 0.2554 0.5107 0.7196
S6 0.7132 0.9628 0.7314
S7 0.2496 0.9628 0.7314
S8 0.2554 0.5107 0.2911

***

# Nd3Dy2Er6Th, optimized geometry, DFT PBE-GGA
# D(E_F) = 15.22 states/eV/cell
# VASP energy = -4.838 eV/atom
# Energy of formation = 0.0206 eV/atom
# Space group = C2/m (12)
data_Nd3Dy2Er6Th
_space_group_name_H-M_alt 'P 1'
_space_group_IT_number 1
_cell_length_a 6.1813
_cell_length_b 6.1813
_cell_length_c 11.7507
_cell_angle_alpha 95.04
_cell_angle_beta 95.04
_cell_angle_gamma 119.99
loop_
_space_group_symop_operation_xyz
'x,y,z'
loop_
_atom_site_label
_atom_site_fract_x
_atom_site_fract_y
_atom_site_fract_z
Nd1 0.1671 0.8329 0.5000
Nd2 0.8329 0.1671 0.5000
Nd3 0.5000 0.5000 0.5000
Dy1 0.3332 0.6668 0.0000
Dy2 0.6668 0.3332 0.0000
Er1 0.9177 0.5878 0.7536
Er2 0.7526 0.7526 0.2463
Er3 0.0823 0.4122 0.2464
Er4 0.5878 0.9177 0.7536
Er5 0.2474 0.2474 0.7537
Er6 0.4122 0.0823 0.2464
Th1 0.0000 0.0000 0.0000

***

# PmPuCdPt, optimized geometry, DFT PBE-GGA
# D(E_F) = 9.20 states/eV/cell
# VASP energy = -6.958 eV/atom
# Energy of formation = -0.4482 eV/atom
# Space group = F-43m (216)
data_PmPuCdPt
_space_group_name_H-M_alt 'P 1'
_space_group_IT_number 1
_cell_length_a 5.1836
_cell_length_b 5.1836
_cell_length_c 5.1836
_cell_angle_alpha 60.00
_cell_angle_beta 60.00
_cell_angle_gamma 60.00
loop_
_space_group_symop_operation_xyz
'x,y,z'
loop_
_atom_site_label
_atom_site_fract_x
_atom_site_fract_y
_atom_site_fract_z
Cd1 0.2500 0.2500 0.2500
Pm1 0.5000 0.5000 0.5000
Pt1 0.7500 0.7500 0.7500
Pu1 0.0000 0.0000 0.0000

***

# SiTcTeI2, optimized geometry, DFT PBE-GGA
# D(E_F) = 2.58 states/eV/cell
# Excess energy over the best structure of this formula in the dataset = 0.169 eV/atom
# Uncorrected formation energy = 1.03 eV per atom
# VASP energy = -3.381 eV/atom
# Space group = P4/mmm (123)
data_SiTcTeI2
_space_group_name_H-M_alt 'P 1'
_space_group_IT_number 1
_cell_length_a 5.4637
_cell_length_b 5.4637
_cell_length_c 5.4657
_cell_angle_alpha 90.00
_cell_angle_beta 90.00
_cell_angle_gamma 90.00
loop_
_space_group_symop_operation_xyz
'x,y,z'
loop_
_atom_site_label
_atom_site_fract_x
_atom_site_fract_y
_atom_site_fract_z
I1 0.0000 0.5000 0.0000
I2 0.5000 0.0000 0.0000
Si1 0.0000 0.0000 0.0000
Te1 0.0000 0.0000 0.5000
Tc1 0.5000 0.5000 0.5000

***

# HgRhF3, optimized geometry, DFT PBE-GGA
# D(E_F) = 6.26 states/eV/cell
# Excess energy over the best structure of this formula in the dataset = 0.000 eV/atom
# Uncorrected formation energy = -1.13 eV per atom
# VASP energy = -3.788 eV/atom
# Space group = C2/c (15)
data_HgRhF3
_space_group_name_H-M_alt 'P 1'
_space_group_IT_number 1
_cell_length_a 8.6592
_cell_length_b 8.6592
_cell_length_c 5.7263
_cell_angle_alpha 79.67
_cell_angle_beta 79.67
_cell_angle_gamma 99.01
loop_
_space_group_symop_operation_xyz
'x,y,z'
loop_
_atom_site_label
_atom_site_fract_x
_atom_site_fract_y
_atom_site_fract_z
Hg1 0.3211 0.3223 0.3152
Hg2 0.6777 0.6789 0.1848
Hg3 0.6789 0.6777 0.6848
Hg4 0.3223 0.3211 0.8152
Rh1 0.1990 0.8010 0.7500
Rh2 0.8010 0.1990 0.2500
Rh3 0.8008 0.1992 0.7500
Rh4 0.1992 0.8008 0.2500
F1 0.1757 0.9702 0.4492
F2 0.0298 0.8243 0.0508
F3 0.8243 0.0298 0.5508
F4 0.9702 0.1757 0.9492
F5 0.6675 0.0648 0.0726
F6 0.9352 0.3325 0.4274
F7 0.3325 0.9352 0.9274
F8 0.0648 0.6675 0.5726
F9 0.6322 0.2260 0.5495
F10 0.7740 0.3678 0.9505
F11 0.3678 0.7740 0.4505
F12 0.2260 0.6322 0.0495

***

# ZnCd2Cu7Sn2, optimized geometry, DFT PBE-GGA
# D(E_F) = 3.51 states/eV/cell
# VASP energy = -3.226 eV/atom
# Energy of formation = 0.0888 eV/atom
# Space group = C2/m (12)
data_ZnCd2Cu7Sn2
_space_group_name_H-M_alt 'P 1'
_space_group_IT_number 1
_cell_length_a 3.4667
_cell_length_b 3.4667
_cell_length_c 17.0837
_cell_angle_alpha 85.29
_cell_angle_beta 85.29
_cell_angle_gamma 90.00
loop_
_space_group_symop_operation_xyz
'x,y,z'
loop_
_atom_site_label
_atom_site_fract_x
_atom_site_fract_y
_atom_site_fract_z
Zn1 0.0000 0.0000 0.0000
Cd1 0.6062 0.6062 0.7558
Cd2 0.3938 0.3938 0.2442
Cu1 0.5000 0.5000 0.0000
Cu2 0.2632 0.2632 0.4700
Cu3 0.7368 0.7368 0.5300
Cu4 0.9522 0.4522 0.1157
Cu5 0.4522 0.9522 0.1157
Cu6 0.5478 0.0478 0.8843
Cu7 0.0478 0.5478 0.8843
Sn1 0.8155 0.8155 0.3710
Sn2 0.1845 0.1845 0.6290

***

# ErSc2PtO, optimized geometry, DFT PBE-GGA
# D(E_F) = 4.79 states/eV/cell
# Uncorrected formation energy = -1.70 eV per atom
# VASP energy = -7.340 eV/atom
# Space group = P4/mmm (123)
data_ErSc2PtO
_space_group_name_H-M_alt 'P 1'
_space_group_IT_number 1
_cell_length_a 4.3188
_cell_length_b 4.3187
_cell_length_c 4.6783
_cell_angle_alpha 90.00
_cell_angle_beta 90.00
_cell_angle_gamma 90.00
loop_
_space_group_symop_operation_xyz
'x,y,z'
loop_
_atom_site_label
_atom_site_fract_x
_atom_site_fract_y
_atom_site_fract_z
Er1 0.0000 0.0000 0.4999
Sc1 0.0000 0.5000 0.9997
Sc2 0.5000 0.0000 0.9998
Pt1 0.5000 0.5000 0.5007
O1 0.0000 0.0000 0.0000

***

# NiHgIr2, optimized geometry, DFT PBE-GGA
# D(E_F) = 7.25 states/eV/cell
# VASP energy = -5.495 eV/atom
# Energy of formation = 0.4567 eV/atom
# Space group = Pmmm (47)
data_NiHgIr2
_space_group_name_H-M_alt 'P 1'
_space_group_IT_number 1
_cell_length_a 2.7973
_cell_length_b 4.6481
_cell_length_c 4.7388
_cell_angle_alpha 90.00
_cell_angle_beta 90.00
_cell_angle_gamma 90.00
loop_
_space_group_symop_operation_xyz
'x,y,z'
loop_
_atom_site_label
_atom_site_fract_x
_atom_site_fract_y
_atom_site_fract_z
Hg1 0.0000 0.5000 0.5000
Ir1 0.0000 0.0000 0.0000
Ir2 0.5000 0.5000 0.0000
Ni1 0.5000 0.0000 0.5000

***

# In2NiIrC, optimized geometry, DFT PBE-GGA
# D(E_F) = 3.74 states/eV/cell
# VASP energy = -5.220 eV/atom
# Energy of formation = 0.6487 eV/atom
# Space group = P4/mmm (123)
data_In2NiIrC
_space_group_name_H-M_alt 'P 1'
_space_group_IT_number 1
_cell_length_a 4.7059
_cell_length_b 3.5660
_cell_length_c 4.7059
_cell_angle_alpha 90.00
_cell_angle_beta 90.00
_cell_angle_gamma 90.00
loop_
_space_group_symop_operation_xyz
'x,y,z'
loop_
_atom_site_label
_atom_site_fract_x
_atom_site_fract_y
_atom_site_fract_z
Ni1 0.0000 0.5000 0.0000
C1 0.0000 0.0000 0.0000
Ir1 0.5000 0.5000 0.5000
In1 0.0000 0.0000 0.5000
In2 0.5000 0.0000 0.0000

***

# CsIr3C, optimized geometry, DFT PBE-GGA
# D(E_F) = 4.84 states/eV/cell
# Excess energy over the best structure of this formula in the dataset = 0.000 eV/atom
# VASP energy = -6.018 eV/atom
# Energy of formation = 1.3143 eV/atom
# Space group = Pm-3m (221)
data_CsIr3C
_space_group_name_H-M_alt 'P 1'
_space_group_IT_number 1
_cell_length_a 4.3509
_cell_length_b 4.3509
_cell_length_c 4.3509
_cell_angle_alpha 90.00
_cell_angle_beta 90.00
_cell_angle_gamma 90.00
loop_
_space_group_symop_operation_xyz
'x,y,z'
loop_
_atom_site_label
_atom_site_fract_x
_atom_site_fract_y
_atom_site_fract_z
Cs1 0.5000 0.5000 0.5000
C1 0.0000 0.0000 0.0000
Ir1 0.0000 0.5000 0.0000
Ir2 0.0000 0.0000 0.5000
Ir3 0.5000 0.0000 0.0000

***

# Nd4Bi8Rh3, optimized geometry, DFT PBE-GGA
# D(E_F) = 12.86 states/eV/cell
# VASP energy = -5.406 eV/atom
# Energy of formation = -0.5949 eV/atom
# Space group = P-4m2 (115)
data_Nd4Bi8Rh3
_space_group_name_H-M_alt 'P 1'
_space_group_IT_number 1
_cell_length_a 4.6444
_cell_length_b 4.6444
_cell_length_c 19.3592
_cell_angle_alpha 90.00
_cell_angle_beta 90.00
_cell_angle_gamma 90.00
loop_
_space_group_symop_operation_xyz
'x,y,z'
loop_
_atom_site_label
_atom_site_fract_x
_atom_site_fract_y
_atom_site_fract_z
Nd1 0.5000 0.0000 0.3847
Nd2 0.5000 0.0000 0.8884
Nd3 0.0000 0.5000 0.1116
Nd4 0.0000 0.5000 0.6153
Bi1 0.5000 0.0000 0.0726
Bi2 0.5000 0.0000 0.5807
Bi3 0.0000 0.5000 0.4193
Bi4 0.0000 0.5000 0.9274
Bi5 0.5000 0.5000 0.2473
Bi6 0.5000 0.5000 0.7527
Bi7 0.0000 0.0000 0.2478
Bi8 0.0000 0.0000 0.7522
Rh1 0.5000 0.5000 0.5000
Rh2 0.0000 0.0000 0.0000
Rh3 0.0000 0.0000 0.5000

***

# SrDy2NpO8, optimized geometry, DFT PBE-GGA
# D(E_F) = 1.06 states/eV/cell
# Uncorrected formation energy = -2.90 eV per atom
# VASP energy = -8.191 eV/atom
# Space group = P2/m (10)
data_SrDy2NpO8
_space_group_name_H-M_alt 'P 1'
_space_group_IT_number 1
_cell_length_a 4.0030
_cell_length_b 5.3282
_cell_length_c 7.6896
_cell_angle_alpha 90.00
_cell_angle_beta 90.00
_cell_angle_gamma 94.01
loop_
_space_group_symop_operation_xyz
'x,y,z'
loop_
_atom_site_label
_atom_site_fract_x
_atom_site_fract_y
_atom_site_fract_z
Sr1 0.0000 0.0000 0.5000
Dy1 0.5000 0.5000 0.7616
Dy2 0.5000 0.5000 0.2384
Np1 0.0000 0.0000 0.0000
O1 0.0277 0.7577 0.2073
O2 0.5401 0.7714 0.0000
O3 0.9723 0.2423 0.2073
O4 0.9723 0.2423 0.7927
O5 0.4599 0.2286 0.0000
O6 0.0277 0.7577 0.7927
O7 0.4902 0.7079 0.5000
O8 0.5098 0.2921 0.5000

***

# Li2V3Se6, optimized geometry, DFT PBE-GGA
# D(E_F) = 5.41 states/eV/cell
# Uncorrected formation energy = -0.84 eV per atom
# VASP energy = -5.575 eV/atom
# Space group = C2/m (12)
data_Li2V3Se6
_space_group_name_H-M_alt 'P 1'
_space_group_IT_number 1
_cell_length_a 6.1610
_cell_length_b 6.2711
_cell_length_c 6.7733
_cell_angle_alpha 82.22
_cell_angle_beta 74.00
_cell_angle_gamma 60.58
loop_
_space_group_symop_operation_xyz
'x,y,z'
loop_
_atom_site_label
_atom_site_fract_x
_atom_site_fract_y
_atom_site_fract_z
Li1 0.1814 0.6372 0.5000
Li2 0.8186 0.3628 0.5000
V1 0.0000 0.0000 0.0000
V2 0.3547 0.2907 0.0000
V3 0.6453 0.7093 0.0000
Se1 0.3998 0.6535 0.7847
Se2 0.7419 0.0000 0.7530
Se3 0.0533 0.3465 0.7847
Se4 0.2581 0.0000 0.2470
Se5 0.6002 0.3465 0.2153
Se6 0.9467 0.6535 0.2153

***

# TiSiSe2, optimized geometry, DFT PBE-GGA
# D(E_F) = 2.48 states/eV/cell
# Uncorrected formation energy = -0.44 eV per atom
# VASP energy = -5.514 eV/atom
# Space group = R-3m (166)
data_TiSiSe2
_space_group_name_H-M_alt 'P 1'
_space_group_IT_number 1
_cell_length_a 8.7234
_cell_length_b 8.7234
_cell_length_c 8.7234
_cell_angle_alpha 22.65
_cell_angle_beta 22.65
_cell_angle_gamma 22.65
loop_
_space_group_symop_operation_xyz
'x,y,z'
loop_
_atom_site_label
_atom_site_fract_x
_atom_site_fract_y
_atom_site_fract_z
Si1 0.0000 0.0000 0.0000
Se1 0.8961 0.8961 0.8961
Se2 0.1039 0.1039 0.1039
Ti1 0.5000 0.5000 0.5000

***

# ErThRhSe, optimized geometry, DFT PBE-GGA
# D(E_F) = 0.89 states/eV/cell
# Uncorrected formation energy = -1.22 eV per atom
# VASP energy = -6.924 eV/atom
# Space group = R3m (160)
data_ErThRhSe
_space_group_name_H-M_alt 'P 1'
_space_group_IT_number 1
_cell_length_a 4.0291
_cell_length_b 4.0296
_cell_length_c 7.6585
_cell_angle_alpha 90.00
_cell_angle_beta 105.26
_cell_angle_gamma 120.00
loop_
_space_group_symop_operation_xyz
'x,y,z'
loop_
_atom_site_label
_atom_site_fract_x
_atom_site_fract_y
_atom_site_fract_z
Er1 0.9497 0.3729 0.3377
Th1 0.3281 0.5620 0.9053
Rh1 0.1351 0.9655 0.1157
Se1 0.4650 0.1305 0.6110